# Ti3NbSb PBE optimized geometry
# Formation energy from raw total energies in kJ per mole of atoms: 102
# Energy relative to the lowest polymorph listed for this composition in meV/atom: 1312
# Volume in Å³ per cell: 117.9
# Total magnetization in μB per formula unit: 0.00
data_Ti3NbSb
_cell_length_a 4.903
_cell_length_b 4.903
_cell_length_c 4.903
_cell_angle_alpha 90.00
_cell_angle_beta 90.00
_cell_angle_gamma 90.00
_space_group_name_H-M_alt 'P m -3 m'
_space_group_IT_number 221
_space_group_name_Hall '-P 4 2 3'
loop_
_atom_site_label
_atom_site_fract_x
_atom_site_fract_y
_atom_site_fract_z
_atom_site_occupancy
Ti1 0.000 0.000 0.500 1
Nb1 0.500 0.500 0.500 1
Sb1 0.000 0.000 0.000 1